Entry from the Alexandria database: a relaxed RbTl3Se crystal (GGA-PBEsol).

Results
Formation energy (no corrections)   829.7 meV per atom
Crystal system   cubic

a = 6.097 Å, b = 6.097 Å, c = 6.097 Å
α = 90.00°, β = 90.00°, γ = 90.00°
Space group Pm-3m (No. 221)
One atom of each set of equivalent atoms:
Rb (0.000, 0.000, 0.000) [1 per cell]
Tl (0.000, 0.000, 0.500) [3 per cell]
Se (0.500, 0.500, 0.500) [1 per cell]

***

Entry from the Alexandria database: a relaxed Li2Zn3Ge6O16 crystal (GGA-PBEsol).

Results
Formation energy (no corrections)   -1747.8 meV per atom
Crystal system   monoclinic

a = 8.222 Å, b = 8.216 Å, c = 8.226 Å
α = 90.00°, β = 90.21°, γ = 90.00°
Space group P2_1 (No. 4)
One atom of each set of equivalent atoms:
Li (0.123, 0.000, 0.124) [2 per cell]
Li (0.249, 0.628, 0.001) [2 per cell]
Zn (0.001, 0.873, 0.753) [2 per cell]
Zn (0.252, 0.125, 0.496) [2 per cell]
Zn (0.497, 0.877, 0.250) [2 per cell]
Ge (0.121, 0.254, 0.877) [2 per cell]
Ge (0.128, 0.753, 0.374) [2 per cell]
Ge (0.131, 0.507, 0.631) [2 per cell]
Ge (0.373, 0.993, 0.873) [2 per cell]
Ge (0.380, 0.501, 0.377) [2 per cell]
Ge (0.382, 0.251, 0.128) [2 per cell]
O (0.100, 0.746, 0.145) [2 per cell]
O (0.106, 0.978, 0.379) [2 per cell]
O (0.112, 0.728, 0.604) [2 per cell]
O (0.114, 0.263, 0.636) [2 per cell]
O (0.131, 0.483, 0.852) [2 per cell]
O (0.136, 0.514, 0.389) [2 per cell]
O (0.144, 0.254, 0.101) [2 per cell]
O (0.148, 0.019, 0.871) [2 per cell]
O (0.350, 0.731, 0.363) [2 per cell]
O (0.357, 0.488, 0.599) [2 per cell]
O (0.360, 0.238, 0.887) [2 per cell]
O (0.362, 0.272, 0.349) [2 per cell]
O (0.377, 0.025, 0.108) [2 per cell]
O (0.388, 0.489, 0.138) [2 per cell]
O (0.394, 0.774, 0.892) [2 per cell]
O (0.398, 0.014, 0.644) [2 per cell]

***

Entry from the Alexandria database: a relaxed NaHgS3 crystal (GGA-PBEsol).

Results
Formation energy (no corrections)   886.7 meV per atom
Crystal system   cubic

a = 4.905 Å, b = 4.905 Å, c = 4.905 Å
α = 90.00°, β = 90.00°, γ = 90.00°
Space group Pm-3m (No. 221)
One atom of each set of equivalent atoms:
Na (0.000, 0.000, 0.000) [1 per cell]
Hg (0.500, 0.500, 0.500) [1 per cell]
S (0.000, 0.000, 0.500) [3 per cell]

***

Entry from the Alexandria database: a relaxed ScRu2Rh crystal (GGA-PBEsol).

Results
Formation enthalpy at 0 K   -0.118 eV per atom
Crystal system   orthorhombic

a = 2.918 Å, b = 4.431 Å, c = 4.518 Å
α = 90.00°, β = 90.00°, γ = 90.00°
Space group Pmmm (No. 47)
One atom of each set of equivalent atoms:
Sc (0.000, 0.000, 0.000) [1 per cell]
Ru (0.000, 0.500, 0.500) [1 per cell]
Ru (0.500, 0.000, 0.500) [1 per cell]
Rh (0.500, 0.500, 0.000) [1 per cell]

***

Number 1: density 5.70 Mg/m³, total magnetic moment 0.000 μB/f.u.. Number 2: density 5.39 Mg/m³, total magnetic moment 0.000 μB/f.u.. Number 3: density 4.50 Mg/m³, total magnetic moment 3.049 μB/f.u.. Number 4: density 9.95 Mg/m³, total magnetic moment 0.739 μB/f.u..